DFT (PBE-GGA) results for crystalline Tb2Si4Ir3Os at its relaxed geometry.

a = 4.180 Å, b = 4.180 Å, c = 9.686 Å
α = 90.00°, β = 90.00°, γ = 90.00°
Fractional positions:
Tb1 0.500 0.000 0.248
Tb2 0.000 0.500 0.752
Si1 0.500 0.500 0.000
Si2 0.000 0.000 0.000
Si3 0.500 0.000 0.626
Si4 0.000 0.500 0.374
Ir1 0.000 0.000 0.500
Ir2 0.500 0.000 0.873
Ir3 0.000 0.500 0.127
Os1 0.500 0.500 0.500

Its volume is 169 Å³/f.u. The calculation puts the total energy at -7.851 eV/atom. The space group is P-4m2 (115).

DFT (PBE-GGA) results for crystalline Th2Si3Ir4Os at its relaxed geometry.

a = 4.188 Å, b = 4.188 Å, c = 10.217 Å
α = 90.00°, β = 90.00°, γ = 90.00°
Fractional positions:
Th1 0.500 0.000 0.243
Th2 0.000 0.500 0.757
Si1 0.000 0.000 0.500
Si2 0.500 0.000 0.870
Si3 0.000 0.500 0.130
Ir1 0.500 0.500 0.000
Ir2 0.000 0.000 0.000
Ir3 0.500 0.000 0.631
Ir4 0.000 0.500 0.369
Os1 0.500 0.500 0.500

Its volume is 179 Å³/f.u. The calculation puts the total energy at -8.634 eV/atom. The space group is P-4m2 (115).

DFT (PBE-GGA) results for crystalline ThSi2IrOs at its relaxed geometry.

a = 4.182 Å, b = 4.182 Å, c = 5.803 Å
α = 111.12°, β = 111.12°, γ = 90.00°
Fractional positions:
Th1 0.000 0.000 0.000
Si1 0.627 0.627 0.254
Si2 0.373 0.373 0.746
Ir1 0.250 0.750 0.500
Os1 0.750 0.250 0.500

Its volume is 87 Å³/f.u. The calculation puts the total energy at -8.612 eV/atom. The space group is I-4m2 (119).

DFT (PBE-GGA) results for crystalline TiSiIr2Os at its relaxed geometry.

a = 4.568 Å, b = 4.576 Å, c = 4.568 Å
α = 90.00°, β = 90.00°, γ = 90.00°
Fractional positions:
Si1 0.500 0.500 0.500
Ir1 0.000 0.000 0.500
Ir2 0.500 0.000 0.000
Os1 0.000 0.500 0.000
Ti1 0.000 0.000 0.000

Its volume is 95 Å³/f.u. The calculation puts the total energy at -6.907 eV/atom. The space group is P4/mmm (123).

DFT (PBE-GGA) results for crystalline TmSi2IrOs at its relaxed geometry.

a = 4.132 Å, b = 4.132 Å, c = 5.648 Å
α = 111.46°, β = 111.46°, γ = 90.00°
Fractional positions:
Tm1 0.000 0.000 0.000
Si1 0.625 0.625 0.250
Si2 0.375 0.375 0.750
Ir1 0.250 0.750 0.500
Os1 0.750 0.250 0.500

Its volume is 83 Å³/f.u. The calculation puts the total energy at -7.996 eV/atom. The space group is I-4m2 (119).

DFT (PBE-GGA) results for crystalline U2Si4IrOs3 at its relaxed geometry.

a = 4.099 Å, b = 4.099 Å, c = 9.853 Å
α = 90.00°, β = 90.00°, γ = 90.00°
Fractional positions:
U1 0.500 0.000 0.248
U2 0.000 0.500 0.752
Si1 0.500 0.500 0.000
Si2 0.000 0.000 0.000
Si3 0.500 0.000 0.629
Si4 0.000 0.500 0.371
Ir1 0.500 0.500 0.500
Os1 0.000 0.000 0.500
Os2 0.500 0.000 0.867
Os3 0.000 0.500 0.133

Its volume is 166 Å³/f.u. The calculation puts the total energy at -9.195 eV/atom. The space group is P-4m2 (115).

DFT (PBE-GGA) results for crystalline USi2Ir2Os at its relaxed geometry.

a = 4.512 Å, b = 4.512 Å, c = 5.360 Å
α = 90.00°, β = 90.00°, γ = 90.00°
Last column: magnetic moment on the atom in μB.
Fractional positions:
U1 0.000 0.000 0.500  1.80
Si1 0.500 0.000 0.000  0.00
Si2 0.000 0.500 0.000  0.00
Ir1 0.500 0.500 0.742  -0.17
Ir2 0.500 0.500 0.258  -0.17
Os1 0.000 0.000 0.000  -0.10

Its volume is 109 Å³/f.u. The calculation puts the total energy at -8.398 eV/atom. The space group is P4/mmm (123).

DFT (PBE-GGA) results for crystalline ZnSiIrOs at its relaxed geometry.

a = 4.227 Å, b = 4.227 Å, c = 4.227 Å
α = 60.00°, β = 60.00°, γ = 60.00°
Fractional positions:
Zn1 0.500 0.500 0.500
Ir1 0.750 0.750 0.750
Os1 0.250 0.250 0.250
Si1 0.000 0.000 0.000

Its volume is 53 Å³/f.u. The calculation puts the total energy at -6.918 eV/atom. The space group is F-43m (216).